Record 1
# Tb3Pm6PrTm2, relaxed, DFT PBE-GGA
# Calculated total energy = -4.662 eV per atom
# E_form = 0.01 eV per atom
data_Tb3Pm6PrTm2
_chemical_formula_sum 'Tb6 Pm12 Pr2 Tm4'
_space_group_name_H-M_alt 'C 1 2/m 1'
_space_group_IT_number 12
_space_group_name_Hall '-C 2y'
_cell_length_a 6.254
_cell_length_b 10.828
_cell_length_c 11.914
_cell_angle_alpha 90.00
_cell_angle_beta 100.05
_cell_angle_gamma 90.00
loop_
_atom_site_label
_atom_site_type_symbol
_atom_site_fract_x
_atom_site_fract_y
_atom_site_fract_z
Tb1 Tb 0.000 0.000 0.000
Tb2 Tb 0.000 0.333 0.000
Pm1 Pm 0.249 0.167 0.250
Pm2 Pm 0.250 0.000 0.750
Pr1 Pr 0.000 0.500 0.500
Tm1 Tm 0.000 0.167 0.500


Record 2
# Tb5PmPr2Tm, relaxed, DFT PBE-GGA
# Calculated total energy = -4.389 eV per atom
# E_form = 0.27 eV per atom
data_Tb5PmPr2Tm
_chemical_formula_sum 'Tb20 Pm4 Pr8 Tm4'
_space_group_name_H-M_alt 'I 4/m c m'
_space_group_IT_number 140
_space_group_name_Hall '-I 4 2c'
_cell_length_a 8.711
_cell_length_b 8.711
_cell_length_c 15.796
_cell_angle_alpha 90.00
_cell_angle_beta 90.00
_cell_angle_gamma 90.00
loop_
_atom_site_label
_atom_site_type_symbol
_atom_site_fract_x
_atom_site_fract_y
_atom_site_fract_z
Tb1 Tb 0.000 0.000 0.000
Tb2 Tb 0.212 0.288 0.140
Pm1 Pm 0.000 0.000 0.250
Pr1 Pr 0.118 0.382 0.500
Tm1 Tm 0.000 0.500 0.250


Record 3
# TbPm2Pr2Tm2, relaxed, DFT PBE-GGA
# Calculated total energy = -4.579 eV per atom
# E_form = 0.08 eV per atom
data_TbPm2Pr2Tm2
_chemical_formula_sum 'Tb2 Pm4 Pr4 Tm4'
_space_group_name_H-M_alt 'C 1 2/m 1'
_space_group_IT_number 12
_space_group_name_Hall '-C 2y'
_cell_length_a 11.779
_cell_length_b 3.551
_cell_length_c 12.016
_cell_angle_alpha 90.00
_cell_angle_beta 110.05
_cell_angle_gamma 90.00
loop_
_atom_site_label
_atom_site_type_symbol
_atom_site_fract_x
_atom_site_fract_y
_atom_site_fract_z
Tb1 Tb 0.000 0.000 0.000
Pm1 Pm 0.053 0.500 0.267
Pr1 Pr 0.167 0.500 0.584
Tm1 Tm 0.226 0.000 0.866


Record 4
# Tb3Pm2Pr6Tm, relaxed, DFT PBE-GGA
# Calculated total energy = -4.700 eV per atom
# E_form = 0.01 eV per atom
data_Tb3Pm2Pr6Tm
_chemical_formula_sum 'Tb6 Pm4 Pr12 Tm2'
_space_group_name_H-M_alt 'C 1 2/m 1'
_space_group_IT_number 12
_space_group_name_Hall '-C 2y'
_cell_length_a 6.334
_cell_length_b 10.973
_cell_length_c 11.996
_cell_angle_alpha 90.00
_cell_angle_beta 100.13
_cell_angle_gamma 90.00
loop_
_atom_site_label
_atom_site_type_symbol
_atom_site_fract_x
_atom_site_fract_y
_atom_site_fract_z
Tb1 Tb 0.000 0.000 0.000
Tb2 Tb 0.000 0.333 0.000
Pm1 Pm 0.000 0.167 0.500
Pr1 Pr 0.249 0.500 0.249
Pr2 Pr 0.250 0.166 0.249
Tm1 Tm 0.000 0.500 0.500


Record 5
# Tb5PmPrTm2, relaxed, DFT PBE-GGA
# Calculated total energy = -4.464 eV per atom
# E_form = 0.16 eV per atom
data_Tb5PmPrTm2
_chemical_formula_sum 'Tb20 Pm4 Pr4 Tm8'
_space_group_name_H-M_alt 'C m c 21'
_space_group_IT_number 36
_space_group_name_Hall 'C 2c -2'
_cell_length_a 5.626
_cell_length_b 19.958
_cell_length_c 10.585
_cell_angle_alpha 90.00
_cell_angle_beta 90.00
_cell_angle_gamma 90.00
loop_
_atom_site_label
_atom_site_type_symbol
_atom_site_fract_x
_atom_site_fract_y
_atom_site_fract_z
Tb1 Tb 0.000 0.017 0.000
Tb2 Tb 0.000 0.281 0.285
Tb3 Tb 0.000 0.298 0.683
Tb4 Tb 0.000 0.390 0.999
Tb5 Tb 0.000 0.477 0.711
Pm1 Pm 0.000 0.201 0.987
Pr1 Pr 0.000 0.416 0.423
Tm1 Tm 0.000 0.111 0.709
Tm2 Tm 0.000 0.114 0.295


Record 6
# Tb2PmPr2Tm, relaxed, DFT PBE-GGA
# Calculated total energy = -4.607 eV per atom
# E_form = 0.07 eV per atom
data_Tb2PmPr2Tm
_chemical_formula_sum 'Tb4 Pm2 Pr4 Tm2'
_space_group_name_H-M_alt 'P m m a'
_space_group_IT_number 51
_space_group_name_Hall '-P 2a 2a'
_cell_length_a 7.045
_cell_length_b 5.713
_cell_length_c 9.930
_cell_angle_alpha 90.00
_cell_angle_beta 90.00
_cell_angle_gamma 90.00
loop_
_atom_site_label
_atom_site_type_symbol
_atom_site_fract_x
_atom_site_fract_y
_atom_site_fract_z
Tb1 Tb 0.250 0.000 0.165
Tb2 Tb 0.250 0.500 0.667
Pm1 Pm 0.000 0.000 0.500
Pr1 Pr 0.000 0.500 0.000
Pr2 Pr 0.250 0.000 0.828
Tm1 Tm 0.250 0.500 0.337


Record 7
# TbPm6PrTm2, relaxed, DFT PBE-GGA
# Calculated total energy = -4.569 eV per atom
# E_form = 0.12 eV per atom
data_TbPm6PrTm2
_chemical_formula_sum 'Tb4 Pm24 Pr4 Tm8'
_space_group_name_H-M_alt 'C 1 2/c 1'
_space_group_IT_number 15
_space_group_name_Hall '-C 2yc'
_cell_length_a 9.272
_cell_length_b 15.198
_cell_length_c 9.686
_cell_angle_alpha 90.00
_cell_angle_beta 97.67
_cell_angle_gamma 90.00
loop_
_atom_site_label
_atom_site_type_symbol
_atom_site_fract_x
_atom_site_fract_y
_atom_site_fract_z
Tb1 Tb 0.000 0.031 0.250
Pm1 Pm 0.065 0.175 0.945
Pm2 Pm 0.097 0.392 0.120
Pm3 Pm 0.209 0.226 0.318
Pr1 Pr 0.000 0.406 0.750
Tm1 Tm 0.245 0.048 0.547


Record 8
# TbPmPrTm, relaxed, DFT PBE-GGA
# Calculated total energy = -4.547 eV per atom
# E_form = 0.11 eV per atom
# Relative energy among the computed polymorphs = 0.0048 eV/atom
data_TbPmPrTm
_chemical_formula_sum 'Tb4 Pm4 Pr4 Tm4'
_space_group_name_H-M_alt 'F -4 3 m'
_space_group_IT_number 216
_space_group_name_Hall 'F -4 2 3'
_cell_length_a 8.111
_cell_length_b 8.111
_cell_length_c 8.111
_cell_angle_alpha 90.00
_cell_angle_beta 90.00
_cell_angle_gamma 90.00
loop_
_atom_site_label
_atom_site_type_symbol
_atom_site_fract_x
_atom_site_fract_y
_atom_site_fract_z
Tb1 Tb 0.000 0.000 0.000
Pm1 Pm 0.250 0.250 0.750
Pr1 Pr 0.250 0.250 0.250
Tm1 Tm 0.000 0.000 0.500


Record 9
# TbPm2Pr4Tm2, relaxed, DFT PBE-GGA
# Calculated total energy = -4.664 eV per atom
# E_form = 0.02 eV per atom
data_TbPm2Pr4Tm2
_chemical_formula_sum 'Tb2 Pm4 Pr8 Tm4'
_space_group_name_H-M_alt 'C 1 2/m 1'
_space_group_IT_number 12
_space_group_name_Hall '-C 2y'
_cell_length_a 15.463
_cell_length_b 5.152
_cell_length_c 8.092
_cell_angle_alpha 90.00
_cell_angle_beta 108.58
_cell_angle_gamma 90.00
loop_
_atom_site_label
_atom_site_type_symbol
_atom_site_fract_x
_atom_site_fract_y
_atom_site_fract_z
Tb1 Tb 0.000 0.000 0.000
Pm1 Pm 0.112 0.000 0.670
Pr1 Pr 0.054 0.500 0.329
Pr2 Pr 0.222 0.000 0.329
Tm1 Tm 0.168 0.500 0.000


Record 10
# Tb4PmPr2Tm, relaxed, DFT PBE-GGA
# Calculated total energy = -4.644 eV per atom
# E_form = 0.02 eV per atom
data_Tb4PmPr2Tm
_chemical_formula_sum 'Tb4 Pm1 Pr2 Tm1'
_space_group_name_H-M_alt 'P 4/m m m'
_space_group_IT_number 123
_space_group_name_Hall '-P 4 2'
_cell_length_a 5.096
_cell_length_b 5.096
_cell_length_c 10.169
_cell_angle_alpha 90.00
_cell_angle_beta 90.00
_cell_angle_gamma 90.00
loop_
_atom_site_label
_atom_site_type_symbol
_atom_site_fract_x
_atom_site_fract_y
_atom_site_fract_z
Tb1 Tb 0.000 0.500 0.247
Pm1 Pm 0.000 0.000 0.500
Pr1 Pr 0.000 0.000 0.000
Pr2 Pr 0.500 0.500 0.500
Tm1 Tm 0.500 0.500 0.000


Record 11
# Tb2PmPr4Tm, relaxed, DFT PBE-GGA
# Calculated total energy = -4.686 eV per atom
# E_form = 0.01 eV per atom
data_Tb2PmPr4Tm
_chemical_formula_sum 'Tb2 Pm1 Pr4 Tm1'
_space_group_name_H-M_alt 'P m m m'
_space_group_IT_number 47
_space_group_name_Hall '-P 2 2'
_cell_length_a 5.158
_cell_length_b 5.190
_cell_length_c 10.176
_cell_angle_alpha 90.00
_cell_angle_beta 90.00
_cell_angle_gamma 90.00
loop_
_atom_site_label
_atom_site_type_symbol
_atom_site_fract_x
_atom_site_fract_y
_atom_site_fract_z
Tb1 Tb 0.000 0.000 0.000
Tb2 Tb 0.500 0.500 0.500
Pm1 Pm 0.000 0.000 0.500
Pr1 Pr 0.000 0.500 0.247
Pr2 Pr 0.500 0.000 0.247
Tm1 Tm 0.500 0.500 0.000


Record 12
# TbPm2Pr4Tm, relaxed, DFT PBE-GGA
# Calculated total energy = -4.703 eV per atom
# E_form = 0.01 eV per atom
data_TbPm2Pr4Tm
_chemical_formula_sum 'Tb1 Pm2 Pr4 Tm1'
_space_group_name_H-M_alt 'P m m m'
_space_group_IT_number 47
_space_group_name_Hall '-P 2 2'
_cell_length_a 5.165
_cell_length_b 5.198
_cell_length_c 10.243
_cell_angle_alpha 90.00
_cell_angle_beta 90.00
_cell_angle_gamma 90.00
loop_
_atom_site_label
_atom_site_type_symbol
_atom_site_fract_x
_atom_site_fract_y
_atom_site_fract_z
Tb1 Tb 0.000 0.000 0.000
Pm1 Pm 0.000 0.000 0.500
Pm2 Pm 0.500 0.500 0.000
Pr1 Pr 0.000 0.500 0.252
Pr2 Pr 0.500 0.000 0.251
Tm1 Tm 0.500 0.500 0.500


Q: Which value of E_form does entry 10 give?
A: 0.02 eV per atom